## Sr2GaTe5As (GGA-PBE)

Data for Sr2GaTe5As after structural relaxation.

Output
- E_tot: -3.814 eV/atom
- Total magnetization: 0.0 Bohr magnetons per cell
- Symmetry: Cmc2_1

abc: 10.2201 10.2201 13.4773
angles: 90.00 90.00 155.33
Closest atoms and distances in Å follow each position.
Positions (direct):
Sr 0.1106 0.8894 0.5000  6 Te 3.34-3.63
Sr 0.1271 0.8729 0.1250  8 Te 3.36-3.69
Sr 0.8729 0.1271 0.6250  8 Te 3.36-3.69
Sr 0.8894 0.1106 0.0000  6 Te 3.34-3.63
Ga 0.4313 0.5687 0.2635  4 Te 2.62-2.69
Ga 0.5687 0.4313 0.7635  4 Te 2.62-2.69
Te 0.0514 0.9486 0.8778  2 Ga 2.69
Te 0.2774 0.7226 0.4849  2 As 2.91
Te 0.3064 0.6936 0.1900  1 Ga 2.68
Te 0.3515 0.6485 0.8156  1 As 2.71
Te 0.5005 0.4995 0.0980  1 Ga 2.62
Te 0.4995 0.5005 0.5980  1 Ga 2.62
Te 0.6485 0.3515 0.3156  1 As 2.71
Te 0.6936 0.3064 0.6900  1 Ga 2.68
Te 0.7226 0.2774 0.9849  2 As 2.91
Te 0.9486 0.0514 0.3778  2 Ga 2.69
As 0.2168 0.7832 0.8423  5 Te 2.71-3.03
As 0.7832 0.2168 0.3423  5 Te 2.71-3.03